Entry 1:
Material: BaPrZn2
Method: DFT, GGA-PBE
State: relaxed

V   29.7 Å³ per atom
E_form   -0.214 eV/atom
Final energy   -2.5262 eV per atom
M_tot   0.0 μB/cell

Cell lengths 3.8902, 3.8902, 7.8468 Å; angles 90.00, 90.00, 90.00 degrees
With the nearest neighbours (Å) after each atom.
Space group P4/mmm (No. 123)
One atom of each set of equivalent atoms:
Ba 0.0000 0.0000 0.0000 [1 per cell]  8 Zn 3.60, 4 Ba 3.89, 2 Pr 3.92
Pr 0.0000 0.0000 0.5000 [1 per cell]  8 Zn 3.18
Zn 0.5000 0.5000 0.2959 [2 per cell]  4 Pr 3.18, 1 Zn 3.20

=====

Entry 2:
Material: Ba3PrZn4
Method: DFT, GGA-PBE
State: relaxed

V   32.0 Å³ per atom
E_form   -0.183 eV/atom
Final energy   -2.1385 eV per atom
M_tot   0.0 μB/cell

Cell lengths 3.9782, 3.9782, 16.1548 Å; angles 90.00, 90.00, 90.00 degrees
With the nearest neighbours (Å) after each atom.
Space group P4/mmm (No. 123)
One atom of each set of equivalent atoms:
Ba 0.0000 0.0000 0.0000 [1 per cell]  8 Zn 3.51
Ba 0.0000 0.0000 0.2616 [2 per cell]  8 Zn 3.52-3.62, 1 Pr 3.85
Pr 0.0000 0.0000 0.5000 [1 per cell]  8 Zn 3.22
Zn 0.5000 0.5000 0.1303 [2 per cell]  8 Ba 3.51-3.52
Zn 0.5000 0.5000 0.4028 [2 per cell]  1 Zn 3.14, 4 Pr 3.22

=====

Entry 3:
Material: BaPr2Zn3
Method: DFT, GGA-PBE
State: relaxed

V   28.2 Å³ per atom
E_form   -0.239 eV/atom
Final energy   -2.7899 eV per atom
M_tot   0.0 μB/cell

Cell lengths 3.8081, 3.8081, 11.6508 Å; angles 90.00, 90.00, 90.00 degrees
With the nearest neighbours (Å) after each atom.
Space group P4/mmm (No. 123)
One atom of each set of equivalent atoms:
Ba 0.0000 0.0000 0.0000 [1 per cell]  8 Zn 3.56, 4 Ba 3.81
Pr 0.0000 0.0000 0.3454 [2 per cell]  8 Zn 3.19-3.24
Zn 0.5000 0.5000 0.1993 [2 per cell]  4 Pr 3.19, 1 Zn 3.50, 4 Ba 3.56
Zn 0.5000 0.5000 0.5000 [1 per cell]  8 Pr 3.24, 2 Zn 3.50

=====

Entry 4:
Material: BaPr2Zn
Method: DFT, GGA-PBE
State: relaxed

V   35.8 Å³ per atom
E_form   -0.057 eV/atom
Final energy   -3.2458 eV per atom
M_tot   0.3 μB/cell

Cell lengths 3.8336, 3.8336, 9.7376 Å; angles 90.00, 90.00, 90.00 degrees
With the nearest neighbours (Å) after each atom.
Space group P4/mmm (No. 123)
One atom of each set of equivalent atoms:
Ba 0.0000 0.0000 0.0000 [1 per cell]  4 Ba 3.83, 8 Pr 4.18
Pr 0.5000 0.5000 0.3263 [2 per cell]  4 Zn 3.20, 1 Pr 3.38
Zn 0.0000 0.0000 0.5000 [1 per cell]  8 Pr 3.20

=====

Entry 5:
Material: Ba3Pt5
Method: DFT, GGA-PBE
State: relaxed

V   29.6 Å³ per atom
E_form   -0.616 eV/atom
Final energy   -5.1124 eV per atom
M_tot   0.0 μB/cell

Cell lengths 7.2790, 17.8131, 7.3308 Å; angles 90.00, 95.10, 90.00 degrees
With the nearest neighbours (Å) after each atom.
Space group C2/m (No. 12)
One atom of each set of equivalent atoms:
Ba 0.0000 0.1935 0.0000 [4 per cell]  4 Pt 3.14-3.15
Ba 0.0000 0.3010 0.5000 [4 per cell]  6 Pt 3.13-3.45
Ba 0.2470 0.5000 0.2520 [4 per cell]  12 Pt 3.48-3.77
Pt 0.1140 0.3777 0.8773 [8 per cell]  3 Pt 2.55-2.83
Pt 0.1211 0.1208 0.3836 [8 per cell]  3 Pt 2.56-2.83
Pt 0.2370 0.0000 0.2331 [4 per cell]  4 Pt 2.59

=====

Entry 6:
Material: BaPt3
Method: DFT, GGA-PBE
State: relaxed

V   25.9 Å³ per atom
E_form   -0.589 eV/atom
Final energy   -5.5999 eV per atom
M_tot   0.0 μB/cell

Cell lengths 4.6183, 7.8921, 5.6873 Å; angles 90.00, 90.00, 90.00 degrees
With the nearest neighbours (Å) after each atom.
Space group Pmmn (No. 59, origin choice 2)
One atom of each set of equivalent atoms:
Ba 0.2500 0.2500 0.0674 [2 per cell]  4 Pt 3.11-3.20
Pt 0.2500 0.0764 0.5581 [4 per cell]  6 Pt 2.67-2.74
Pt 0.2500 0.7500 0.4366 [2 per cell]  6 Pt 2.67-2.69

=====

Entry 7:
Material: BaPt2
Method: DFT, GGA-PBE
State: relaxed

V   25.9 Å³ per atom
E_form   -0.434 eV/atom
Final energy   -5.1024 eV per atom
M_tot   0.0 μB/cell

Cell lengths 3.8629, 3.8629, 5.2139 Å; angles 90.00, 90.00, 90.00 degrees
With the nearest neighbours (Å) after each atom.
Space group P4/mmm (No. 123)
One atom of each set of equivalent atoms:
Ba 0.0000 0.0000 0.0000 [1 per cell]  8 Pt 3.24
Pt 0.0000 0.5000 0.5000 [2 per cell]  4 Pt 2.73

=====

Entry 8:
Material: BaPt3
Method: DFT, GGA-PBE
State: relaxed

V   25.3 Å³ per atom
E_form   -0.618 eV/atom
Final energy   -5.6292 eV per atom
M_tot   0.0 μB/cell

Cell lengths 7.9817, 4.6101, 6.1339 Å; angles 90.00, 116.17, 90.00 degrees
With the nearest neighbours (Å) after each atom.
Space group C2/m (No. 12)
One atom of each set of equivalent atoms:
Ba 0.0000 0.0000 0.0000 [2 per cell]  2 Pt 3.03
Pt 0.0000 0.5000 0.5000 [2 per cell]  6 Pt 2.68
Pt 0.1835 0.0000 0.5499 [4 per cell]  6 Pt 2.68-2.72

=====

Entry 9:
Material: Ba4Pt3
Method: DFT, GGA-PBE
State: relaxed

V   29.3 Å³ per atom
E_form   -0.147 eV/atom
Final energy   -3.8344 eV per atom
M_tot   2.1 μB/cell

Cell lengths 5.9976, 5.9976, 6.5888 Å; angles 90.00, 90.00, 120.00 degrees
With the nearest neighbours (Å) after each atom.
Space group P6/mmm (No. 191)
One atom of each set of equivalent atoms:
Ba 0.0000 0.0000 0.2326 [2 per cell]  1 Ba 3.06, 6 Pt 3.37
Ba 0.3333 0.6667 0.5000 [2 per cell]  3 Ba 3.46, 6 Pt 3.72
Pt 0.0000 0.5000 0.0000 [3 per cell]  4 Pt 3.00

=====

Entry 10:
Material: BaPt2
Method: DFT, GGA-PBE
State: relaxed

V   25.5 Å³ per atom
E_form   -0.326 eV/atom
Final energy   -4.9945 eV per atom
M_tot   0.0 μB/cell

Cell lengths 4.1435, 6.1169, 12.0812 Å; angles 90.00, 90.00, 90.00 degrees
With the nearest neighbours (Å) after each atom.
Space group Immm (No. 71)
One atom of each set of equivalent atoms:
Ba 0.0000 0.0000 0.1773 [4 per cell]  8 Pt 3.17-3.44
Pt 0.0000 0.2189 0.5000 [4 per cell]  5 Pt 2.68-2.79
Pt 0.0000 0.5000 0.1085 [4 per cell]  5 Pt 2.62-2.79

=====

Entry 11:
Material: BaPt2
Method: DFT, GGA-PBE
State: relaxed

V   24.7 Å³ per atom
E_form   -0.618 eV/atom
Final energy   -5.2863 eV per atom
M_tot   0.0 μB/cell

Cell lengths 5.3192, 5.3192, 10.4669 Å; angles 90.00, 90.00, 90.00 degrees
With the nearest neighbours (Å) after each atom.
Space group I4/mcm (No. 140)
One atom of each set of equivalent atoms:
Ba 0.0000 0.0000 0.2500 [4 per cell]  8 Pt 3.27
Pt 0.1796 0.3204 0.0000 [8 per cell]  5 Pt 2.70-2.76

=====

Entry 12:
Material: Ba5Pt3
Method: DFT, GGA-PBE
State: relaxed

V   36.4 Å³ per atom
E_form   -0.618 eV/atom
Final energy   -4.0847 eV per atom
M_tot   0.0 μB/cell

Cell lengths 7.5963, 8.6952, 9.8135 Å; angles 84.90, 67.32, 76.62 degrees
With the nearest neighbours (Å) after each atom.
Space group P-1 (No. 2)
One atom of each set of equivalent atoms:
Ba 0.0036 0.2025 0.1110 [2 per cell]  4 Pt 3.23-3.43
Ba 0.1531 0.3794 0.7180 [2 per cell]  5 Pt 3.27-3.49
Ba 0.2592 0.9702 0.4998 [2 per cell]  4 Pt 3.13-3.35
Ba 0.3714 0.3799 0.2826 [2 per cell]  5 Pt 3.27-3.49
Ba 0.3871 0.7966 0.1101 [2 per cell]  4 Pt 3.21-3.42
Pt 0.0488 0.7002 0.5007 [2 per cell]  6 Ba 3.13-3.49
Pt 0.2509 0.4996 0.9991 [2 per cell]  8 Ba 3.21-3.42
Pt 0.3480 0.9995 0.8048 [2 per cell]  8 Ba 3.33-3.47

=====

Entry 13:
Material: BaPt5
Method: DFT, GGA-PBE
State: relaxed

V   21.0 Å³ per atom
E_form   -0.109 eV/atom
Final energy   -5.4630 eV per atom
M_tot   0.0 μB/cell

Cell lengths 12.3963, 3.0216, 6.7434 Å; angles 90.00, 93.33, 90.00 degrees
With the nearest neighbours (Å) after each atom.
Space group Cm (No. 8)
One atom of each set of equivalent atoms:
Ba 0.0000 0.0000 0.0000 [2 per cell]  2 Ba 3.02, 6 Pt 3.28-3.38
Pt 0.1122 0.5000 0.6132 [2 per cell]  5 Pt 2.62-2.72
Pt 0.2347 0.5000 0.9585 [2 per cell]  5 Pt 2.62-2.72
Pt 0.2947 0.0000 0.6490 [2 per cell]  7 Pt 2.63-2.73
Pt 0.3004 0.0000 0.2597 [2 per cell]  5 Pt 2.62-2.77
Pt 0.4499 0.5000 0.4850 [2 per cell]  6 Pt 2.62-2.77

=====

Entry 14:
Material: BaPt3
Method: DFT, GGA-PBE
State: relaxed

V   29.0 Å³ per atom
E_form   -0.362 eV/atom
Final energy   -5.3734 eV per atom
M_tot   0.0 μB/cell

Cell lengths 5.1763, 9.0845, 19.7357 Å; angles 90.00, 90.00, 90.00 degrees
With the nearest neighbours (Å) after each atom.
Space group Fmmm (No. 69)
One atom of each set of equivalent atoms:
Ba 0.0000 0.0000 0.1048 [8 per cell]  5 Pt 3.13-3.33
Pt 0.0000 0.0000 0.2633 [8 per cell]  6 Pt 2.63-2.64
Pt 0.2500 0.2500 0.0000 [8 per cell]  2 Pt 2.59
Pt 0.2500 0.2500 0.2500 [8 per cell]  6 Pt 2.59-2.63

=====

Entry 15:
Material: BaPt2
Method: DFT, GGA-PBE
State: relaxed

V   31.9 Å³ per atom
E_form   -0.257 eV/atom
Final energy   -4.9252 eV per atom
M_tot   0.0 μB/cell

Cell lengths 4.8208, 6.4519, 6.1490 Å; angles 90.00, 90.00, 90.00 degrees
With the nearest neighbours (Å) after each atom.
Space group Pnnm (No. 58)
One atom of each set of equivalent atoms:
Ba 0.0000 0.0000 0.0000 [2 per cell]  6 Pt 3.15-3.32
Pt 0.2500 0.0487 0.5000 [4 per cell]  2 Pt 2.49

=====

Entry 16:
Material: BaPt2
Method: DFT, GGA-PBE
State: relaxed

V   34.3 Å³ per atom
E_form   -0.251 eV/atom
Final energy   -4.9193 eV per atom
M_tot   0.0 μB/cell

Cell lengths 8.6834, 8.6834, 4.7328 Å; angles 90.00, 90.00, 120.00 degrees
With the nearest neighbours (Å) after each atom.
Space group P-62m (No. 189)
One atom of each set of equivalent atoms:
Ba 0.0000 0.0000 0.0000 [1 per cell]  9 Pt 3.25-3.42
Ba 0.3333 0.6667 0.5000 [2 per cell]  3 Pt 3.12
Pt 0.0000 0.2851 0.5000 [3 per cell]  2 Pt 2.49
Pt 0.0000 0.3747 0.0000 [3 per cell]  2 Pt 2.49

=====

Entry 17:
Material: BaPt5
Method: DFT, GGA-PBE
State: relaxed

V   19.4 Å³ per atom
E_form   -0.145 eV/atom
Final energy   -5.4994 eV per atom
M_tot   0.0 μB/cell

Cell lengths 7.7543, 7.7543, 7.7543 Å; angles 90.00, 90.00, 90.00 degrees
With the nearest neighbours (Å) after each atom.
Space group F-43m (No. 216)
One atom of each set of equivalent atoms:
Ba 0.0000 0.0000 0.0000 [4 per cell]  16 Pt 3.22-3.36
Pt 0.1241 0.1241 0.6241 [16 per cell]  6 Pt 2.72-2.76
Pt 0.2500 0.2500 0.2500 [4 per cell]  12 Pt 3.21, 4 Ba 3.36

=====

Entry 18:
Material: BaPt2
Method: DFT, GGA-PBE
State: relaxed

V   26.1 Å³ per atom
E_form   -0.704 eV/atom
Final energy   -5.3717 eV per atom
M_tot   0.0 μB/cell

Cell lengths 4.5767, 6.2381, 6.3268 Å; angles 109.57, 90.13, 111.46 degrees
With the nearest neighbours (Å) after each atom.
Space group P-1 (No. 2)
One atom of each set of equivalent atoms:
Ba 0.1074 0.2170 0.3095 [2 per cell]  8 Pt 3.21-3.48
Pt 0.2090 0.4179 0.8982 [2 per cell]  5 Pt 2.63-2.75
Pt 0.4005 0.8006 0.3102 [2 per cell]  4 Pt 2.67-2.75

=====

Entry 19:
Material: Ba7Pt5
Method: DFT, GGA-PBE
State: relaxed

V   36.7 Å³ per atom
E_form   -0.669 eV/atom
Final energy   -4.3072 eV per atom
M_tot   0.0 μB/cell

Cell lengths 15.0441, 4.4818, 13.5495 Å; angles 90.00, 105.26, 90.00 degrees
With the nearest neighbours (Å) after each atom.
Space group C2/m (No. 12)
One atom of each set of equivalent atoms:
Ba 0.0000 0.0000 0.0000 [2 per cell]  4 Pt 3.17
Ba 0.0391 0.5000 0.2846 [4 per cell]  4 Pt 3.13-3.19
Ba 0.1556 0.0000 0.5489 [4 per cell]  5 Pt 3.18-3.40
Ba 0.2395 0.0000 0.8570 [4 per cell]  5 Pt 3.17-3.54
Pt 0.0000 0.5000 0.5000 [2 per cell]  6 Ba 3.13-3.18
Pt 0.1168 0.5000 0.9252 [4 per cell]  6 Ba 3.17-3.19
Pt 0.1952 0.0000 0.3134 [4 per cell]  7 Ba 3.19-3.54

=====

Entry 20:
Material: Ba6Pt7
Method: DFT, GGA-PBE
State: relaxed

V   28.8 Å³ per atom
E_form   -0.512 eV/atom
Final energy   -4.6520 eV per atom
M_tot   0.0 μB/cell

Cell lengths 5.7075, 5.7075, 39.8673 Å; angles 90.00, 90.00, 120.00 degrees
With the nearest neighbours (Å) after each atom.
Space group R-3m (No. 166, hexagonal axes)
One atom of each set of equivalent atoms:
Ba 0.0000 0.0000 0.0672 [6 per cell]  6 Pt 3.27, 4 Ba 3.42-3.52
Ba 0.0000 0.0000 0.1529 [6 per cell]  12 Pt 3.34-3.38, 4 Ba 3.42-3.47
Ba 0.0000 0.0000 0.3692 [6 per cell]  3 Pt 3.30, 3 Ba 3.52
Pt 0.0000 0.0000 0.5000 [3 per cell]  6 Pt 2.89
Pt 0.0024 0.5012 0.8927 [18 per cell]  5 Pt 2.83-2.89